# 1
VASP calculation (PBE-GGA) on a relaxed PW2Se crystal.

Calculated values
* energy above the most stable polymorph in this dataset: 196.3 meV/atom
* energy relative to the elements, uncorrected: 0.2265 eV/atom

a b c (Å): 4.3616 4.3616 4.3616
angles (deg): 60.00 60.00 60.00
Sites, in units of the cell vectors:
P 0.0000 0.0000 0.0000
Se 0.5000 0.5000 0.5000
W 0.2500 0.2500 0.2500
W 0.7500 0.7500 0.7500

# 2
VASP calculation (PBE-GGA) on a relaxed Er3BiS6 crystal.

Calculated values
* energy above the most stable polymorph in this dataset: 47.1 meV/atom
* energy relative to the elements, uncorrected: -1.5805 eV/atom

a b c (Å): 6.8102 8.4931 8.4931
angles (deg): 103.43 90.00 90.00
Sites, in units of the cell vectors:
Er 0.4796 0.9144 0.7110
Er 0.9796 0.7110 0.9144
Er 0.3885 0.4055 0.5945
Er 0.8885 0.5945 0.4055
Er 0.9796 0.0856 0.2890
Er 0.4796 0.2890 0.0856
Bi 0.9965 0.1794 0.8206
Bi 0.4965 0.8206 0.1794
S 0.1787 0.6962 0.6346
S 0.6787 0.6346 0.6962
S 0.2103 0.4444 0.9020
S 0.7103 0.9020 0.4444
S 0.2543 0.0092 0.9908
S 0.6089 0.2294 0.7706
S 0.1089 0.7706 0.2294
S 0.7543 0.9908 0.0092
S 0.2103 0.0980 0.5556
S 0.7103 0.5556 0.0980
S 0.1787 0.3654 0.3038
S 0.6787 0.3038 0.3654

# 3
VASP calculation (PBE-GGA) on a relaxed Ce2As2Pt crystal.

Calculated values
* formation enthalpy at 0 K: -1.184 eV per atom

a b c (Å): 4.3240 4.3240 7.5469
angles (deg): 90.00 90.00 120.00
Sites, in units of the cell vectors:
Ce 0.0000 0.0000 0.2594
Ce 0.0000 0.0000 0.7406
As 0.3333 0.6667 0.5000
As 0.6667 0.3333 0.0000
Pt 0.3333 0.6667 0.0000

# 4
VASP calculation (PBE-GGA) on a relaxed CeBeCo2H8 crystal.

Calculated values
* calculated total energy: -4.408 eV per atom

a b c (Å): 4.2504 4.2504 5.9659
angles (deg): 69.13 69.13 60.00
Sites, in units of the cell vectors:
Ce 0.5000 0.5000 0.5000
Be 0.0000 0.0000 0.0000
Co 0.3035 0.3035 0.0896
Co 0.6965 0.6965 0.9104
H 0.2016 0.2016 0.3953
H 0.6410 0.3155 0.1412
H 0.7984 0.7984 0.6047
H 0.9023 0.6410 0.1412
H 0.0977 0.3590 0.8588
H 0.3155 0.9023 0.1412
H 0.6845 0.0977 0.8588
H 0.3590 0.6845 0.8588